VASP calculation (PBE) on Cs2PtO after structural relaxation.

Cell lengths 5.5226, 5.5226, 5.5226 Å; angles 60.00, 60.00, 60.00 degrees
Closest atoms and distances in Å follow each position.
Element x y z (fractional)
Cs 0.7500 0.7500 0.7500  4 O 3.38, 4 Pt 3.38
Pt 0.5000 0.5000 0.5000  8 Cs 3.38
O 0.0000 0.0000 0.0000  8 Cs 3.38
Cs 0.2500 0.2500 0.2500  4 Pt 3.38, 4 O 3.38

Calculated density (g/cm³): 6.65
Crystal system: cubic
N(E_F) (states/eV/atom): 1.86
E_form (uncorrected) (eV/f.u.): 1.021
SG: Fm-3m
Total DFT energy (no corrections) (eV for the cell shown): -11.7
Energy above the lowest structure with this stoichiometry (meV per atom): 849